Compound: MgTlCu
Source: Alexandria via LeMat-Bulk
Functional: PBE
Structure: optimized geometry

Summary:
density = 7.71 Mg/m³
energy = -2.689 eV per atom
magnetization = 0.0 μB per cell
formation energy from the elements = -4 meV/atom

abc: 4.5434 4.5272 12.2399
angles: 90.00 91.29 90.00
Space group C2/m (No. 12)
Symmetry-distinct sites (fractional):
Mg1 0.2395 0.0000 0.3240
Tl1 0.2330 0.5000 0.1204
Cu1 0.2472 0.5000 0.4519